# 1
This record from the Alexandria database describes a geometry-optimized Re2TcSe structure. The functional is PBE-GGA.

The space group is P4mm (No. 99) and the conventional cell measures 2.974, 2.974 and 6.735 Å, with angles of 90.00, 90.00 and 90.00 degrees. The inequivalent atoms are Re at (0.000, 0.000, 0.000), Re at (0.500, 0.500, 0.252), Tc at (0.500, 0.500, 0.737) and Se at (0.000, 0.000, 0.504).

For the calculated total energy, the calculation gives -9.49 eV per atom. As for the size of the total moment: 0.00 μB/cell. The mass density comes out at 15.313 g/cm3.

# 2
This record from the Alexandria database describes a geometry-optimized Pa2TcW structure. The functional is PBE-GGA.

The space group is R-3m (No. 166, hexagonal axes) and the conventional cell measures 3.0205, 3.0205 and 30.8148 Å, with angles of 90.00, 90.00 and 120.00 degrees. The inequivalent atoms are Pa at (0.0000, 0.0000, 0.0910), Tc at (0.0000, 0.0000, 0.5000) and W at (0.0000, 0.0000, 0.0000).

For the calculated total energy, the calculation gives -10.05 eV per atom. The formation enthalpy at 0 K is 527 meV per atom. As for the size of the total moment: 0.00 μB/cell. As for the excess energy over the best structure of this formula in the dataset: 9.03 kcal/mol of atoms. The mass density comes out at 15.221 g/cm3.

# 3
This record from the Alexandria database describes a geometry-optimized Pm2In2Au structure. The functional is PBE-GGA.

The space group is C2/m (No. 12) and the conventional cell measures 11.328, 4.678 and 11.405 Å, with angles of 90.00, 116.79 and 90.00 degrees. The inequivalent atoms are Pm at (0.006, 0.000, 0.327), Pm at (0.183, 0.000, 0.118), In at (0.037, 0.500, 0.890), In at (0.146, 0.500, 0.553) and Au at (0.219, 0.500, 0.329).

For the calculated total energy, the calculation gives -4.24 eV per atom. The formation enthalpy at 0 K is -586 meV per atom. As for the size of the total moment: 0.00 μB/cell. The mass density comes out at 8.821 g/cm3.

# 4
This record from the Alexandria database describes a geometry-optimized AlFeTe2 structure. The functional is PBE-GGA.

The space group is Pmmm (No. 47) and the conventional cell measures 3.831, 3.875 and 7.509 Å, with angles of 90.00, 90.00 and 90.00 degrees. The inequivalent atoms are Al at (0.000, 0.000, 0.000), Fe at (0.000, 0.500, 0.500), Te at (0.500, 0.000, 0.500) and Te at (0.500, 0.500, 0.000).

For the calculated total energy, the calculation gives -4.23 eV per atom. As for the size of the total moment: 3.26 μB/cell. The mass density comes out at 5.036 g/cm3.

# 5
This record from the Alexandria database describes a geometry-optimized VCo3H structure. The functional is PBE-GGA.

The space group is P2_1/m (No. 11) and the conventional cell measures 4.143, 5.122 and 4.449 Å, with angles of 90.00, 90.24 and 90.00 degrees. The inequivalent atoms are V at (0.240, 0.250, 0.184), Co at (0.223, 0.750, 0.174), Co at (0.244, 0.511, 0.662) and H at (0.393, 0.250, 0.806).

For the calculated total energy, the calculation gives -6.81 eV per atom. As for the size of the total moment: 3.21 μB/cell. As for the excess energy over the best structure of this formula in the dataset: 2.20 kcal/mol of atoms. The mass density comes out at 8.047 g/cm3.

# 6
This record from the Alexandria database describes a geometry-optimized SrPd3Ru structure. The functional is PBE-GGA.

The space group is Pm-3m (No. 221) and the conventional cell measures 4.899, 4.899 and 4.899 Å, with angles of 90.00, 90.00 and 90.00 degrees. The inequivalent atoms are Sr at (0.000, 0.000, 0.000), Pd at (0.000, 0.500, 0.500) and Ru at (0.500, 0.500, 0.500).

For the calculated total energy, the calculation gives -4.93 eV per atom. The formation enthalpy at 0 K is 381 meV per atom. As for the size of the total moment: 1.46 μB/cell. As for the excess energy over the best structure of this formula in the dataset: 0.00 kcal/mol of atoms. The mass density comes out at 7.173 g/cm3.

| no. | D(E_F) (states/eV per cell) | V (A^3/atom) |
| --- | --- | --- |
| 1 | 3.0 | 14.89 |
| 2 | 13.2 | 20.29 |
| 3 | 13.7 | 26.98 |
| 4 | 4.8 | 27.87 |
| 5 | 6.9 | 9.44 |
| 6 | 6.8 | 23.52 |